The following is a DFT calculation (PBE) of a relaxed structure of SmDyI3.

Computed properties:
Formation energy without anion corrections: -1.101 eV/atom
Energy above the lowest structure with this stoichiometry: 0.002 eV/atom
Fermi-level density of states: 0.42 states/eV/f.u.
Total magnetic moment: 0.00 μB per atom

a = 4.137 Å, b = 10.367 Å, c = 11.534 Å
α = 110.70°, β = 90.00°, γ = 101.51°
Fractional positions:
Sm  0.926  0.852  0.756
Sm  0.074  0.148  0.244
Dy  0.575  0.150  0.971
Dy  0.425  0.850  0.029
I  0.364  0.728  0.543
I  0.636  0.272  0.457
I  0.808  0.617  0.869
I  0.192  0.383  0.131
I  0.080  0.161  0.766
I  0.920  0.839  0.234